An optimized crystal structure of Sr3As, computed with PBE-GGA.

## Properties
SG: Pm-3n
Volume in Å³/cell: 293.01
ΔE to the lowest computed polymorph in meV/atom: 436
Energy of formation in eV/f.u.: -0.75

a = 6.642 Å, b = 6.642 Å, c = 6.642 Å
α = 90.00°, β = 90.00°, γ = 90.00°
Sites, in units of the cell vectors:
Sr 0.000 0.250 0.500
Sr 0.000 0.750 0.500
Sr 0.250 0.500 0.000
Sr 0.500 0.000 0.250
Sr 0.500 0.000 0.750
Sr 0.750 0.500 0.000
As 0.000 0.000 0.000
As 0.500 0.500 0.500